VASP calculation (PBE-GGA) on crystalline SrCrCl2 at its relaxed geometry.

Output
The formation energy without anion corrections comes out at -0.8727 eV per atom.

Cell: 7.9974 7.9974 7.9974 Å, 31.35 31.35 31.35°
Site moments in Bohr magnetons follow the coordinates.
Element x y z (fractional)
Cl 0.2033 0.2033 0.2033  -0.03
Cl 0.0161 0.0161 0.0161  -0.01
Sr 0.7498 0.7498 0.7498  -0.04
Cr 0.5309 0.5309 0.5309  4.01

VASP calculation (PBE-GGA) on crystalline Pm2BrNCl at its relaxed geometry.

Output
The formation energy without anion corrections comes out at -1.7306 eV per atom.

Cell: 3.9119 7.9350 9.3453 Å, 84.77 77.92 75.73°
Element x y z (fractional)
Pm 0.4020 0.9007 0.2954
Pm 0.1265 0.7850 0.9620
Pm 0.5980 0.0993 0.7046
Pm 0.8735 0.2150 0.0380
Cl 0.3661 0.4283 0.8396
Cl 0.6339 0.5717 0.1604
Br 0.1568 0.2305 0.4559
Br 0.8432 0.7695 0.5441
N 0.9418 0.9527 0.1637
N 0.0582 0.0473 0.8363

VASP calculation (PBE-GGA) on crystalline YNi3As at its relaxed geometry.

Cell: 4.6844 4.6844 4.6844 Å, 90.00 90.00 90.00°
Element x y z (fractional)
Ni 0.5000 0.0000 0.0000
Ni 0.0000 0.0000 0.5000
Ni 0.0000 0.5000 0.0000
As 0.5000 0.5000 0.5000
Y 0.0000 0.0000 0.0000

| no. | total magnetization (Bohr magnetons per cell) | volume (Å³ per atom) | uncorrected energy (eV per atom) |
| --- | --- | --- | --- |
| 1 | 4.31 | 30.72 | -4.622 |
| 2 | 0.33 | 27.47 | -6.000 |
| 3 | 0.00 | 20.56 | -4.379 |